{
  "formula": "Pm7Tl3O2",
  "functional": "GGA-PBE",
  "state": "optimized geometry",
  "raw_formation_energy_ev_per_atom": -1.17,
  "sg": "I4/mmm (139)",
  "dos_ef_per_ev_atom": 0.27,
  "lattice": [[-4.7308, 0.3982, -1.1519], [0.0452, -4.5566, -1.7608], [-0.9323, -2.5347, 13.3120]],
  "species": ["Pm", "Pm", "Pm", "Pm", "Pm", "Pm", "Pm", "Tl", "Tl", "Tl", "O", "O"],
  "frac_coords": [[0.0000, 0.0000, 0.0000], [0.9048, 0.4048, 0.8096], [0.4048, 0.9048, 0.8096], [0.0952, 0.5952, 0.1904], [0.5952, 0.0952, 0.1904], [0.1985, 0.1985, 0.3971], [0.8015, 0.8015, 0.6029], [0.3200, 0.3200, 0.6400], [0.6800, 0.6800, 0.3600], [0.5000, 0.5000, 0.0000], [0.0977, 0.0977, 0.1954], [0.9023, 0.9023, 0.8046]]
}


{
  "formula": "Pm6TlO12",
  "functional": "GGA-PBE",
  "state": "optimized geometry",
  "raw_formation_energy_ev_per_atom": -2.70,
  "sg": "R-3 (148)",
  "dos_ef_per_ev_atom": 0.49,
  "lattice": [[6.6739, 0.1784, -1.2300], [-1.5084, 6.5036, -1.2300], [0.1379, 0.1784, 6.7849]],
  "species": ["Pm", "Pm", "Pm", "Pm", "Pm", "Pm", "Tl", "O", "O", "O", "O", "O", "O", "O", "O", "O", "O", "O", "O"],
  "frac_coords": [[0.1401, 0.3011, 0.6091], [0.6989, 0.3909, 0.8599], [0.3909, 0.8599, 0.6989], [0.8599, 0.6989, 0.3909], [0.3011, 0.6091, 0.1401], [0.6091, 0.1401, 0.3011], [0.0000, 0.0000, 0.0000], [0.4397, 0.1782, 0.5850], [0.1782, 0.5850, 0.4397], [0.5850, 0.4397, 0.1782], [0.5603, 0.8218, 0.4150], [0.8218, 0.4150, 0.5603], [0.4150, 0.5603, 0.8218], [0.0595, 0.9430, 0.6796], [0.3204, 0.9405, 0.0570], [0.0570, 0.3204, 0.9405], [0.9405, 0.0570, 0.3204], [0.6796, 0.0595, 0.9430], [0.9430, 0.6796, 0.0595]]
}


{
  "formula": "Pm3Tl2O2",
  "functional": "GGA-PBE",
  "state": "optimized geometry",
  "raw_formation_energy_ev_per_atom": -1.80,
  "sg": "C2/m (12)",
  "dos_ef_per_ev_atom": 0.38,
  "lattice": [[-2.7660, -2.6357, -0.7963], [5.5559, -1.7200, -4.0417], [-1.5878, -0.9717, 8.7317]],
  "species": ["Pm", "Pm", "Pm", "Tl", "Tl", "O", "O"],
  "frac_coords": [[0.0000, 0.0000, 0.0000], [0.8227, 0.6454, 0.4214], [0.1773, 0.3546, 0.5786], [0.6193, 0.2385, 0.8551], [0.3807, 0.7615, 0.1449], [0.7916, 0.5833, 0.6496], [0.2084, 0.4167, 0.3504]]
}


{
  "formula": "PmTl2O4",
  "functional": "GGA-PBE",
  "state": "optimized geometry",
  "raw_formation_energy_ev_per_atom": -1.51,
  "sg": "Cmcm (63)",
  "dos_ef_per_ev_atom": 0.31,
  "lattice": [[3.4275, 0.0000, 0.0000], [-1.7138, 5.7714, 0.0000], [0.0000, 0.0000, 10.9927]],
  "species": ["Pm", "Pm", "Tl", "Tl", "Tl", "Tl", "O", "O", "O", "O", "O", "O", "O", "O"],
  "frac_coords": [[0.6153, 0.2307, 0.7500], [0.3847, 0.7693, 0.2500], [0.1300, 0.2600, 0.4302], [0.8700, 0.7400, 0.9302], [0.1300, 0.2600, 0.0698], [0.8700, 0.7400, 0.5698], [0.7891, 0.5783, 0.1236], [0.7891, 0.5783, 0.3764], [0.2109, 0.4217, 0.8764], [0.2109, 0.4217, 0.6236], [0.9727, 0.9454, 0.7500], [0.0273, 0.0546, 0.2500], [0.5000, 0.0000, 0.0000], [0.5000, 0.0000, 0.5000]]
}